Entry from the Alexandria database: a geometry-optimized BaHfTcH2 structure (PBEsol).

Calculated values
The symmetry is P4/mmm, No. 123. The calculation puts the calculated total energy at -28.07 eV per formula unit.

abc: 4.1231 4.1231 5.0155
angles: 90.00 90.00 90.00
With the nearest neighbours (Å) after each atom.
Sites, in units of the cell vectors:
H (0.0000, 0.5000, 0.0000)  2 Hf 2.06
Tc (0.0000, 0.0000, 0.5000)  2 Hf 2.51
Ba (0.5000, 0.5000, 0.5000)  4 Tc 2.92, 8 H 3.25
H (0.5000, 0.0000, 0.0000)  2 Hf 2.06
Hf (0.0000, 0.0000, 0.0000)  4 H 2.06

=====

Entry from the Alexandria database: a geometry-optimized BaHgH3 structure (PBEsol).

Calculated values
The symmetry is Pm-3m, No. 221. The calculation puts the calculated total energy at -10.88 eV per formula unit.

abc: 4.7675 4.7675 4.7675
angles: 90.00 90.00 90.00
With the nearest neighbours (Å) after each atom.
Sites, in units of the cell vectors:
H (0.0000, 0.0000, 0.5000)  2 Ba 2.38
Hg (0.5000, 0.5000, 0.5000)  12 H 3.37
Ba (0.0000, 0.0000, 0.0000)  6 H 2.38
H (0.5000, 0.0000, 0.0000)  2 Ba 2.38
H (0.0000, 0.5000, 0.0000)  2 Ba 2.38

=====

Entry from the Alexandria database: a geometry-optimized Ba2HgH2 structure (PBEsol).

Calculated values
The symmetry is I4/mmm, No. 139. The calculation puts the calculated total energy at -13.77 eV per formula unit.

abc: 4.2193 4.2193 7.8148
angles: 105.66 105.66 90.00
With the nearest neighbours (Å) after each atom.
Sites, in units of the cell vectors:
H (0.2500, 0.7500, 0.5000)  4 Ba 2.58
Ba (0.6466, 0.6466, 0.2932)  4 H 2.58
Ba (0.3534, 0.3534, 0.7068)  4 H 2.58
H (0.7500, 0.2500, 0.5000)  4 Ba 2.58
Hg (0.0000, 0.0000, 0.0000)  8 Ba 3.66

=====

Entry from the Alexandria database: a geometry-optimized Ba2HgH structure (PBEsol).

Calculated values
The symmetry is I-42d, No. 122. The calculation puts the calculated total energy at -9.49 eV per formula unit.

abc: 6.8941 6.8941 6.8941
angles: 107.41 110.51 110.51
With the nearest neighbours (Å) after each atom.
Sites, in units of the cell vectors:
Ba (0.5870, 0.3750, 0.4620)  2 H 2.56
Hg (0.5000, 0.7500, 0.2500)  8 Ba 3.45-3.86
Ba (0.9130, 0.5380, 0.1250)  2 H 2.56
Ba (0.4130, 0.8750, 0.7880)  2 H 2.56
Hg (0.0000, 0.0000, 0.0000)  8 Ba 3.45-3.86
H (0.5000, 0.2500, 0.7500)  4 Ba 2.56
H (0.0000, 0.5000, 0.5000)  4 Ba 2.56
Ba (0.0870, 0.2120, 0.6250)  2 H 2.56

=====

Entry from the Alexandria database: a geometry-optimized BaHI structure (PBEsol).

Calculated values
The symmetry is P4/nmm, No. 129. The calculation puts the calculated total energy at -10.91 eV per formula unit.

abc: 4.6723 4.6723 7.5890
angles: 90.00 90.00 90.00
With the nearest neighbours (Å) after each atom.
Sites, in units of the cell vectors:
I (0.0000, 0.5000, 0.6588)  4 H 3.49, 5 Ba 3.54-3.68
Ba (0.5000, 0.0000, 0.8258)  4 H 2.68
I (0.5000, 0.0000, 0.3412)  4 H 3.49, 5 Ba 3.54-3.68
H (0.5000, 0.5000, 0.0000)  4 Ba 2.68
Ba (0.0000, 0.5000, 0.1742)  4 H 2.68
H (0.0000, 0.0000, 0.0000)  4 Ba 2.68

=====

Entry from the Alexandria database: a geometry-optimized BaH2I structure (PBEsol).

Calculated values
The symmetry is Cm, No. 8. The calculation puts the calculated total energy at -14.07 eV per formula unit.

abc: 4.5539 4.5539 9.9462
angles: 102.53 102.53 90.28
With the nearest neighbours (Å) after each atom.
Sites, in units of the cell vectors:
Ba (0.7117, 0.7117, 0.7911)  4 H 2.64
I (0.9159, 0.9159, 0.2195)  6 H 3.38-3.54, 4 Ba 3.49-3.51
Ba (0.3467, 0.3467, 0.0742)  4 H 2.64
H (0.5831, 0.5831, 0.4243)  1 H 0.77
H (0.7792, 0.2791, 0.9325)  4 Ba 2.64
I (0.1422, 0.1422, 0.6450)  6 H 3.42-3.59, 4 Ba 3.50-3.51
H (0.2791, 0.7792, 0.9325)  4 Ba 2.64
H (0.4656, 0.4656, 0.4285)  1 H 0.77

=====

Entry from the Alexandria database: a geometry-optimized BaH2I2O7 structure (PBEsol).

Calculated values
The symmetry is C2/c, No. 15. The calculation puts the calculated total energy at -61.95 eV per formula unit.

abc: 7.6607 7.6605 7.8252
angles: 100.92 109.87 117.34
With the nearest neighbours (Å) after each atom.
Sites, in units of the cell vectors:
H (0.5663, 0.7662, 0.8672)  1 O 0.99
Ba (0.1140, 0.8641, 0.2501)  7 O 2.66-2.88
O (0.4354, 0.0954, 0.6394)  1 I 1.81
O (0.3400, 0.2636, 0.9176)  1 H 1.70, 1 I 1.85
I (0.9549, 0.2814, 0.3093)  3 O 1.81-1.85
O (0.0984, 0.2259, 0.5080)  1 I 1.82
Ba (0.8860, 0.1359, 0.7499)  7 O 2.66-2.88
O (0.5526, 0.8025, 0.7499)  2 H 0.99
O (0.5646, 0.9046, 0.3606)  1 I 1.81
I (0.5281, 0.3545, 0.8094)  3 O 1.81-1.85
I (0.0451, 0.7186, 0.6907)  3 O 1.81-1.85
O (0.0440, 0.2041, 0.1393)  1 I 1.81
O (0.7821, 0.4096, 0.0081)  1 I 1.82
H (0.4337, 0.2338, 0.1328)  1 O 0.99
O (0.9560, 0.7959, 0.8607)  1 I 1.81
O (0.9016, 0.7741, 0.4920)  1 I 1.82
H (0.6010, 0.3009, 0.3673)  1 O 0.99
O (0.6600, 0.7364, 0.0824)  1 H 1.70, 1 I 1.85
O (0.4474, 0.1975, 0.2501)  2 H 0.99
O (0.1540, 0.5776, 0.4176)  1 H 1.70, 1 I 1.85
O (0.8460, 0.4224, 0.5824)  1 H 1.70, 1 I 1.85
O (0.2179, 0.5904, 0.9919)  1 I 1.82
H (0.3990, 0.6991, 0.6327)  1 O 0.99
I (0.4719, 0.6455, 0.1906)  3 O 1.81-1.85

=====

Entry from the Alexandria database: a geometry-optimized BaHIO2 structure (PBEsol).

Calculated values
The symmetry is P4/mmm, No. 123. The calculation puts the calculated total energy at -19.76 eV per formula unit.

abc: 3.7005 4.7220 4.7220
angles: 90.00 90.00 90.00
With the nearest neighbours (Å) after each atom.
Sites, in units of the cell vectors:
I (0.5000, 0.0000, 0.0000)  2 H 1.85
H (0.0000, 0.0000, 0.0000)  2 I 1.85
Ba (0.5000, 0.5000, 0.5000)  8 O 3.00, 4 I 3.34
O (0.0000, 0.0000, 0.5000)  2 H 2.36
O (0.0000, 0.5000, 0.0000)  2 H 2.36

=====

Entry from the Alexandria database: a geometry-optimized BaH4I2O2 structure (PBEsol).

Calculated values
The symmetry is C2/c, No. 15. The calculation puts the calculated total energy at -41.23 eV per formula unit.

abc: 6.6509 6.6509 8.5074
angles: 71.40 71.40 67.80
With the nearest neighbours (Å) after each atom.
Sites, in units of the cell vectors:
I (0.7726, 0.8047, 0.3518)  2 H 2.51-2.53
H (0.2746, 0.8705, 0.3736)  1 O 1.00
O (0.2819, 0.7268, 0.0581)  2 H 1.00
H (0.7170, 0.1206, 0.9503)  1 O 1.00
H (0.1295, 0.7254, 0.1264)  1 O 1.00
H (0.7254, 0.1295, 0.6264)  1 O 1.00
I (0.2274, 0.1953, 0.6482)  2 H 2.51-2.53
Ba (0.5970, 0.4030, 0.2500)  4 O 2.80-2.87
Ba (0.4030, 0.5970, 0.7500)  4 O 2.80-2.87
O (0.7181, 0.2732, 0.9419)  2 H 1.00
O (0.7268, 0.2819, 0.5581)  2 H 1.00
H (0.8794, 0.2830, 0.5497)  1 O 1.00
I (0.8047, 0.7726, 0.8518)  2 H 2.51-2.53
O (0.2732, 0.7181, 0.4419)  2 H 1.00
I (0.1953, 0.2274, 0.1482)  2 H 2.51-2.53
H (0.1206, 0.7170, 0.4503)  1 O 1.00
H (0.8705, 0.2746, 0.8736)  1 O 1.00
H (0.2830, 0.8794, 0.0497)  1 O 1.00

=====

Entry from the Alexandria database: a geometry-optimized BaHIO structure (PBEsol).

Calculated values
The symmetry is Pnma, No. 62. The calculation puts the calculated total energy at -19.89 eV per formula unit.

abc: 4.4420 7.8864 11.1513
angles: 90.00 90.00 90.00
With the nearest neighbours (Å) after each atom.
Sites, in units of the cell vectors:
I (0.7500, 0.5360, 0.8223)  2 H 3.06
H (0.2500, 0.7769, 0.9037)  1 O 0.98
O (0.2500, 0.3650, 0.5343)  1 H 0.98
I (0.2500, 0.9640, 0.3223)  2 H 3.06
Ba (0.2500, 0.6881, 0.5842)  3 O 2.61-2.62
I (0.7500, 0.0360, 0.6777)  2 H 3.06
Ba (0.7500, 0.8119, 0.0842)  3 O 2.61-2.62
Ba (0.2500, 0.1881, 0.9158)  3 O 2.61-2.62
I (0.2500, 0.4640, 0.1777)  2 H 3.06
O (0.7500, 0.6350, 0.4657)  1 H 0.98
H (0.7500, 0.7231, 0.4037)  1 O 0.98
Ba (0.7500, 0.3119, 0.4158)  3 O 2.61-2.62
O (0.2500, 0.8650, 0.9657)  1 H 0.98
O (0.7500, 0.1350, 0.0343)  1 H 0.98
H (0.2500, 0.2769, 0.5963)  1 O 0.98
H (0.7500, 0.2231, 0.0963)  1 O 0.98

=====

Entry from the Alexandria database: a geometry-optimized BaTe2HI structure (PBEsol).

Calculated values
The symmetry is P4/mmm, No. 123. The calculation puts the calculated total energy at -12.21 eV per formula unit.

abc: 6.6327 6.8195 6.8195
angles: 90.00 90.00 90.00
With the nearest neighbours (Å) after each atom.
Sites, in units of the cell vectors:
Te (0.0000, 0.0000, 0.5000)  2 Ba 3.41
Te (0.0000, 0.5000, 0.0000)  2 Ba 3.41
I (0.5000, 0.0000, 0.0000)  2 Ba 3.32
Ba (0.0000, 0.0000, 0.0000)  2 I 3.32, 4 Te 3.41
H (0.5000, 0.5000, 0.5000)  8 Te 4.76, 4 I 4.82

=====

Entry from the Alexandria database: a geometry-optimized BaTeHI2 structure (PBEsol).

Calculated values
The symmetry is P4/mmm, No. 123. The calculation puts the calculated total energy at -15.48 eV per formula unit.

abc: 4.1280 5.8957 5.8957
angles: 90.00 90.00 90.00
With the nearest neighbours (Å) after each atom.
Sites, in units of the cell vectors:
Ba (0.5000, 0.5000, 0.5000)  8 I 3.60
I (0.0000, 0.0000, 0.5000)  2 H 2.95
Te (0.5000, 0.0000, 0.0000)  2 H 2.06
H (0.0000, 0.0000, 0.0000)  2 Te 2.06
I (0.0000, 0.5000, 0.0000)  2 H 2.95